! PBE InP2Ru, optimized geometry; values from VASP
&SYSTEM
  ibrav = 0, nat = 4, ntyp = 3
/
ATOMIC_SPECIES
P 30.97 P.upf
In 114.82 In.upf
Ru 101.07 Ru.upf
CELL_PARAMETERS angstrom
-8.381 2.953 0.664
-7.704 2.619 3.631
-6.916 5.186 2.161
ATOMIC_POSITIONS angstrom
P -11.944 5.587 3.353
P -22.557 10.551 6.331
In -17.250 8.069 4.842
Ru -5.750 2.690 1.614
! ΔE_f = 0.02 eV per atom
! Size of the total moment = 0.00 μB per formula unit
! N(E_F) = 0.531 states/eV per atom
! V = 71 Å³/f.u.